The following is a PBEsol calculation of an optimized crystal structure of Li4ZrIr, from Alexandria.

Summary:
DFT formation energy   0.0222 eV/atom

Unit cell a=4.867 b=4.867 c=4.867 alpha=60.00 beta=60.00 gamma=60.00
Fractional coordinates of all 6 atoms:
Li (0.122, 0.122, 0.122)
Li (0.122, 0.122, 0.635)
Li (0.122, 0.635, 0.122)
Li (0.635, 0.122, 0.122)
Zr (0.500, 0.500, 0.500)
Ir (0.750, 0.750, 0.750)

The following is a PBEsol calculation of an optimized crystal structure of Nb2TlTcRh, from Alexandria.

Summary:
DFT formation energy   1.3264 eV/atom

Unit cell a=4.658 b=4.658 c=5.041 alpha=90.00 beta=90.00 gamma=90.00
Fractional coordinates of all 5 atoms:
Nb (0.000, 0.500, 0.000)
Nb (0.500, 0.000, 0.000)
Tl (0.000, 0.000, 0.500)
Tc (0.000, 0.000, 0.000)
Rh (0.500, 0.500, 0.500)

The following is a PBEsol calculation of an optimized crystal structure of Mn2CdSi, from Alexandria.

Summary:
Excess energy over the best structure of this formula in the dataset   0.0 meV per atom
E_form (uncorrected)   0.19 eV per atom

Unit cell a=4.574 b=4.574 c=4.574 alpha=133.09 beta=126.37 gamma=73.97
Fractional coordinates of all 4 atoms:
Mn (0.231, 0.231, 0.000)
Mn (0.769, 0.769, 0.000)
Cd (0.500, 0.000, 0.500)
Si (0.000, 0.500, 0.500)